NiINF2: optimized geometry, GGA+U.

Results
Its space group is No. 123. As for the energy relative to the lowest polymorph listed for this composition: 3.38 eV per formula unit.

Cell lengths 4.714, 4.714, 4.039 Å; angles 90.00, 90.00, 90.00 degrees
Sites, in units of the cell vectors:
Ni  0.000  0.000  0.000
I  0.500  0.500  0.500
N  0.500  0.500  0.000
F  0.000  0.500  0.500
F  0.500  0.000  0.500

---

NiIN2F: optimized geometry, GGA+U.

Results
Its space group is No. 123. As for the energy relative to the lowest polymorph listed for this composition: 5.39 eV per formula unit.

Cell lengths 3.874, 3.874, 6.829 Å; angles 90.00, 90.00, 90.00 degrees
Sites, in units of the cell vectors:
Ni  0.000  0.000  0.000
I  0.500  0.500  0.000
N  0.000  0.500  0.500
N  0.500  0.000  0.500
F  0.500  0.500  0.500

---

NiINF2: optimized geometry, GGA+U.

Results
Its space group is No. 123. As for the energy relative to the lowest polymorph listed for this composition: 0.00 eV per formula unit.

Cell lengths 3.718, 3.718, 5.382 Å; angles 90.00, 90.00, 90.00 degrees
Sites, in units of the cell vectors:
Ni  0.000  0.000  0.000
I  0.500  0.500  0.500
N  0.000  0.000  0.500
F  0.000  0.500  0.000
F  0.500  0.000  0.000

---

NiIN2F: optimized geometry, GGA+U.

Results
Its space group is No. 123. As for the energy relative to the lowest polymorph listed for this composition: 0.00 eV per formula unit.

Cell lengths 3.990, 3.990, 3.817 Å; angles 90.00, 90.00, 90.00 degrees
Sites, in units of the cell vectors:
Ni  0.000  0.000  0.000
I  0.500  0.500  0.500
N  0.000  0.500  0.000
N  0.500  0.000  0.000
F  0.000  0.000  0.500

---

no.,calculated total energy (eV/atom)
1,-2.77
2,-2.49
3,-3.44
4,-3.57